# 1
## Sm8DyEr2 (PBE)

Data for crystalline Sm8DyEr2 at its relaxed geometry.

Lattice parameters (Å, degrees): 6.675 10.296 10.296 38.15 59.65 59.65
Atoms (fractional coordinates):
Sm 0.172 0.755 0.755
Sm 0.274 0.408 0.408
Sm 0.771 0.650 0.174
Sm 0.771 0.174 0.650
Er 0.593 0.801 0.801
Sm 0.828 0.245 0.245
Dy 0.000 0.000 0.000
Er 0.407 0.199 0.199
Sm 0.229 0.350 0.826
Sm 0.726 0.592 0.592
Sm 0.229 0.826 0.350

* electronic total energy: -0.16561 Ha/atom
* ρ: 7.64 g/cm³
* formation energy: 0.1735 eV/atom

# 2
## SmDy5Er12 (PBE)

Data for crystalline SmDy5Er12 at its relaxed geometry.

Lattice parameters (Å, degrees): 11.044 10.226 5.912 89.99 89.99 57.32
Atoms (fractional coordinates):
Dy 0.667 0.665 0.000
Sm 0.000 0.000 0.000
Er 0.328 0.000 0.046
Er 0.841 0.666 0.549
Er 0.342 0.666 0.951
Er 0.672 0.000 0.954
Er 0.159 0.334 0.451
Er 0.507 0.334 0.549
Dy 0.500 0.000 0.500
Er 0.658 0.334 0.049
Dy 0.167 0.666 0.500
Dy 0.833 0.334 0.500
Er 0.825 0.000 0.454
Er 0.493 0.666 0.451
Er 0.992 0.666 0.049
Er 0.175 0.000 0.546
Dy 0.333 0.335 0.000
Er 0.008 0.334 0.951

* electronic total energy: -0.16392 Ha/atom
* ρ: 8.77 g/cm³
* formation energy: 0.1219 eV/atom

# 3
## Sm6Dy3Er (PBE)

Data for crystalline Sm6Dy3Er at its relaxed geometry.

Lattice parameters (Å, degrees): 6.288 11.063 11.063 120.43 90.00 90.00
Atoms (fractional coordinates):
Dy 0.575 0.613 0.387
Sm 0.900 0.040 0.960
Er 0.121 0.199 0.801
Sm 0.147 0.722 0.278
Er 0.621 0.801 0.199
Sm 0.647 0.278 0.722
Sm 0.545 0.624 0.711
Sm 0.860 0.945 0.525
Sm 0.360 0.055 0.475
Sm 0.860 0.475 0.055
Sm 0.400 0.960 0.040
Sm 0.045 0.711 0.624
Sm 0.360 0.525 0.945
Dy 0.465 0.944 0.719
Sm 0.545 0.289 0.376
Dy 0.965 0.719 0.944
Dy 0.465 0.281 0.056
Dy 0.965 0.056 0.281
Dy 0.075 0.387 0.613
Sm 0.045 0.376 0.289

* electronic total energy: -0.16617 Ha/atom
* ρ: 7.79 g/cm³
* E above lowest polymorph: 21 meV per atom
* formation energy: 0.1466 eV/atom

# 4
## Sm6DyEr (PBE)

Data for crystalline Sm6DyEr at its relaxed geometry.

Lattice parameters (Å, degrees): 6.233 6.233 8.063 105.12 105.12 109.16
Atoms (fractional coordinates):
Sm 0.124 0.624 0.248
Sm 0.750 0.750 0.500
Sm 0.250 0.250 0.500
Sm 0.376 0.876 0.752
Dy 0.500 0.500 0.000
Er 0.000 0.000 0.000
Sm 0.876 0.376 0.752
Sm 0.624 0.124 0.248

* electronic total energy: -0.17154 Ha/atom
* ρ: 7.74 g/cm³
* formation energy: 0.0171 eV/atom

# 5
## Sm12DyEr5 (PBE)

Data for crystalline Sm12DyEr5 at its relaxed geometry.

Lattice parameters (Å, degrees): 15.203 10.762 5.081 90.00 90.01 45.07
Atoms (fractional coordinates):
Sm 0.832 0.667 0.500
Sm 0.834 0.000 0.500
Er 0.667 0.667 0.000
Sm 0.335 0.000 0.000
Sm 0.499 0.333 0.500
Er 0.833 0.334 0.500
Sm 0.668 0.334 0.000
Er 0.167 0.666 0.500
Sm 0.332 0.666 0.000
Sm 0.001 0.666 0.000
Sm 0.168 0.333 0.500
Er 0.333 0.333 0.000
Er 0.500 0.000 0.500
Sm 0.665 0.000 0.000
Sm 0.501 0.667 0.500
Sm 0.999 0.334 0.000
Sm 0.166 0.000 0.500
Dy 0.000 0.000 0.000

* electronic total energy: -0.17088 Ha/atom
* ρ: 7.91 g/cm³
* formation energy: 0.0194 eV/atom

# 6
## Sm7DyEr12 (PBE)

Data for crystalline Sm7DyEr12 at its relaxed geometry.

Lattice parameters (Å, degrees): 9.703 9.703 9.703 109.47 109.47 109.47
Atoms (fractional coordinates):
Sm 0.000 0.500 0.500
Sm 0.500 0.000 0.500
Er 0.248 0.753 0.000
Sm 0.500 0.500 0.000
Sm 0.500 0.500 0.500
Er 0.505 0.752 0.753
Er 0.752 0.247 0.000
Sm 0.000 0.000 0.500
Er 0.000 0.248 0.753
Dy 0.000 0.000 0.000
Sm 0.500 0.000 0.000
Er 0.248 0.247 0.495
Er 0.753 0.000 0.248
Er 0.000 0.752 0.247
Er 0.753 0.505 0.752
Sm 0.000 0.500 0.000
Er 0.247 0.000 0.752
Er 0.495 0.248 0.247
Er 0.752 0.753 0.505
Er 0.247 0.495 0.248

* electronic total energy: -0.14482 Ha/atom
* ρ: 7.61 g/cm³
* E above lowest polymorph: 443 meV per atom
* formation energy: 0.6788 eV/atom

# 7
## Sm5Dy2Er2 (PBE)

Data for crystalline Sm5Dy2Er2 at its relaxed geometry.

Lattice parameters (Å, degrees): 12.814 6.168 10.351 107.33 128.24 90.00
Atoms (fractional coordinates):
Dy 0.500 0.387 0.000
Er 0.184 0.583 0.270
Dy 0.805 0.765 0.500
Sm 0.848 0.341 0.097
Er 0.586 0.083 0.270
Sm 0.542 0.311 0.713
Sm 0.670 0.811 0.713
Sm 0.928 0.293 0.500
Sm 0.072 0.793 0.500
Er 0.414 0.813 0.730
Dy 0.000 0.887 0.000
Sm 0.749 0.841 0.097
Sm 0.330 0.098 0.287
Sm 0.152 0.245 0.903
Dy 0.195 0.265 0.500
Er 0.816 0.313 0.730
Sm 0.251 0.745 0.903
Sm 0.458 0.598 0.287

* electronic total energy: -0.16470 Ha/atom
* ρ: 7.88 g/cm³
* E above lowest polymorph: 159 meV per atom
* formation energy: 0.1767 eV/atom

# 8
## SmDy15Er4 (PBE)

Data for crystalline SmDy15Er4 at its relaxed geometry.

Lattice parameters (Å, degrees): 5.004 5.004 25.021 90.00 90.00 90.00
Atoms (fractional coordinates):
Dy 0.500 0.000 0.500
Dy 0.500 0.500 0.201
Dy 0.500 0.500 0.400
Er 0.000 0.000 0.600
Dy 0.500 0.000 0.899
Er 0.000 0.000 0.201
Dy 0.500 0.000 0.300
Dy 0.000 0.500 0.700
Dy 0.000 0.500 0.500
Dy 0.000 0.500 0.899
Dy 0.000 0.500 0.300
Dy 0.500 0.500 0.600
Sm 0.000 0.000 0.000
Er 0.000 0.000 0.799
Dy 0.000 0.500 0.101
Er 0.000 0.000 0.400
Dy 0.500 0.000 0.101
Dy 0.500 0.500 0.799
Dy 0.500 0.500 0.000
Dy 0.500 0.000 0.700

* electronic total energy: -0.16836 Ha/atom
* ρ: 8.63 g/cm³
* formation energy: 0.0188 eV/atom

# 9
## SmDy5Er6 (PBE)

Data for crystalline SmDy5Er6 at its relaxed geometry.

Lattice parameters (Å, degrees): 6.116 6.112 11.684 85.00 79.98 59.98
Atoms (fractional coordinates):
Er 0.251 0.000 0.251
Dy 0.833 0.334 0.500
Er 0.749 0.000 0.749
Dy 0.333 0.333 0.000
Er 0.083 0.334 0.749
Dy 0.167 0.666 0.500
Er 0.583 0.334 0.251
Er 0.417 0.666 0.749
Dy 0.500 0.000 0.500
Dy 0.667 0.667 0.000
Sm 0.000 0.000 0.000
Er 0.917 0.666 0.251

* electronic total energy: -0.16807 Ha/atom
* ρ: 8.77 g/cm³
* formation energy: 0.0189 eV/atom

# 10
## Sm6Dy4Er (PBE)

Data for crystalline Sm6Dy4Er at its relaxed geometry.

Lattice parameters (Å, degrees): 5.822 5.633 25.657 90.00 90.00 121.11
Atoms (fractional coordinates):
Sm 0.202 0.404 0.603
Er 0.789 0.577 0.250
Dy 0.455 0.910 0.377
Dy 0.851 0.702 0.544
Sm 0.123 0.246 0.318
Sm 0.500 0.000 0.500
Sm 0.877 0.754 0.682
Sm 0.202 0.404 0.897
Dy 0.149 0.298 0.044
Er 0.211 0.423 0.750
Sm 0.451 0.902 0.250
Dy 0.455 0.910 0.123
Dy 0.545 0.090 0.877
Sm 0.500 0.000 0.000
Sm 0.798 0.596 0.397
Dy 0.545 0.090 0.623
Dy 0.149 0.298 0.456
Sm 0.798 0.596 0.103
Sm 0.123 0.246 0.182
Sm 0.549 0.098 0.750
Sm 0.877 0.754 0.818
Dy 0.851 0.702 0.956

* electronic total energy: -0.16688 Ha/atom
* ρ: 7.93 g/cm³
* E above lowest polymorph: 0 meV per atom
* formation energy: 0.1214 eV/atom

# 11
## Sm4Dy3Er8 (PBE)

Data for crystalline Sm4Dy3Er8 at its relaxed geometry.

Lattice parameters (Å, degrees): 6.704 9.244 9.244 87.62 111.34 111.34
Atoms (fractional coordinates):
Er 0.000 0.638 0.362
Er 0.476 0.733 0.733
Er 0.995 0.731 0.731
Er 0.000 0.362 0.638
Sm 0.000 0.500 0.000
Er 0.500 0.254 0.746
Er 0.500 0.746 0.254
Sm 0.000 0.000 0.500
Dy 0.500 0.500 0.500
Sm 0.500 0.000 0.000
Er 0.524 0.267 0.267
Dy 0.500 0.000 0.500
Er 0.005 0.269 0.269
Dy 0.500 0.500 0.000
Sm 0.000 0.000 0.000

* electronic total energy: -0.15541 Ha/atom
* ρ: 8.15 g/cm³
* E above lowest polymorph: 255 meV per atom
* formation energy: 0.3834 eV/atom

# 12
## SmDy14Er (PBE)

Data for crystalline SmDy14Er at its relaxed geometry.

Lattice parameters (Å, degrees): 7.118 7.118 11.450 90.00 90.00 120.00
Atoms (fractional coordinates):
Dy 0.375 0.125 0.249
Dy 0.875 0.625 0.751
Dy 0.875 0.625 0.249
Dy 0.542 0.958 0.000
Sm 0.708 0.292 0.500
Dy 0.875 0.125 0.751
Dy 0.375 0.625 0.750
Dy 0.375 0.125 0.751
Dy 0.208 0.292 0.500
Dy 0.375 0.625 0.250
Dy 0.875 0.125 0.249
Er 0.208 0.792 0.500
Dy 0.042 0.458 0.000
Dy 0.708 0.792 0.500
Dy 0.042 0.958 0.000
Dy 0.542 0.458 0.000

* electronic total energy: -0.16923 Ha/atom
* ρ: 8.57 g/cm³
* formation energy: 0.0021 eV/atom

# 13
## Sm7Dy3Er (PBE)

Data for crystalline Sm7Dy3Er at its relaxed geometry.

Lattice parameters (Å, degrees): 5.860 8.503 8.503 82.88 110.19 110.19
Atoms (fractional coordinates):
Sm 0.306 0.016 0.597
Sm 0.788 0.790 0.790
Sm 0.306 0.597 0.016
Dy 0.500 0.000 0.000
Sm 0.694 0.403 0.984
Dy 0.000 0.795 0.205
Sm 0.000 0.500 0.500
Dy 0.000 0.205 0.795
Sm 0.694 0.984 0.403
Er 0.500 0.500 0.500
Sm 0.212 0.210 0.210

* electronic total energy: -0.16274 Ha/atom
* ρ: 7.60 g/cm³
* E above lowest polymorph: 120 meV per atom
* formation energy: 0.2446 eV/atom

# 14
## Sm2Dy3Er2 (PBE)

Data for crystalline Sm2Dy3Er2 at its relaxed geometry.

Lattice parameters (Å, degrees): 3.555 11.243 6.149 100.47 73.17 108.39
Atoms (fractional coordinates):
Sm 0.860 0.144 0.570
Dy 0.428 0.571 0.285
Dy 0.000 0.000 0.000
Sm 0.140 0.856 0.430
Dy 0.572 0.429 0.715
Er 0.283 0.712 0.859
Er 0.717 0.288 0.141

* electronic total energy: -0.16924 Ha/atom
* ρ: 8.39 g/cm³
* E above lowest polymorph: 0 meV per atom
* formation energy: 0.0192 eV/atom

# 15
## Sm12Dy2Er (PBE)

Data for crystalline Sm12Dy2Er at its relaxed geometry.

Lattice parameters (Å, degrees): 6.770 6.770 24.773 90.00 90.00 63.74
Atoms (fractional coordinates):
Sm 0.749 0.249 0.925
Sm 0.751 0.749 0.872
Sm 0.273 0.773 0.440
Sm 0.727 0.227 0.440
Sm 0.249 0.749 0.075
Sm 0.749 0.751 0.128
Sm 0.251 0.751 0.925
Dy 0.000 0.500 0.266
Sm 0.251 0.249 0.128
Sm 0.232 0.268 0.414
Sm 0.500 0.500 0.325
Sm 0.773 0.273 0.560
Sm 0.000 0.000 0.199
Sm 0.500 0.500 0.675
Sm 0.268 0.232 0.586
Sm 0.227 0.727 0.560
Sm 0.751 0.251 0.075
Dy 0.500 0.000 0.734
Sm 0.768 0.732 0.414
Sm 0.500 0.500 0.199
Er 0.000 0.500 0.000
Dy 0.500 0.000 0.270
Dy 0.000 0.500 0.730
Sm 0.000 0.000 0.325
Sm 0.249 0.251 0.872
Er 0.500 0.000 0.000
Sm 0.732 0.768 0.586
Sm 0.000 0.000 0.675
Sm 0.000 0.000 0.801
Sm 0.500 0.500 0.801

* electronic total energy: -0.16650 Ha/atom
* ρ: 7.49 g/cm³
* formation energy: 0.1624 eV/atom

# 16
## Sm5DyEr (PBE)

Data for crystalline Sm5DyEr at its relaxed geometry.

Lattice parameters (Å, degrees): 10.408 17.023 6.263 35.96 33.80 23.51
Atoms (fractional coordinates):
Sm 0.204 0.269 0.354
Sm 0.500 0.000 0.000
Sm 0.796 0.731 0.646
Sm 0.365 0.731 0.647
Sm 0.635 0.269 0.353
Dy 0.500 0.500 0.500
Er 0.000 0.000 0.000

* electronic total energy: -0.16535 Ha/atom
* ρ: 7.47 g/cm³
* formation energy: 0.1808 eV/atom

# 17
## Sm8Dy6Er (PBE)

Data for crystalline Sm8Dy6Er at its relaxed geometry.

Lattice parameters (Å, degrees): 9.096 9.096 8.686 58.43 58.43 60.00
Atoms (fractional coordinates):
Sm 0.748 0.719 0.421
Sm 0.281 0.888 0.579
Sm 0.252 0.281 0.579
Sm 0.719 0.112 0.421
Dy 0.900 0.759 0.881
Dy 0.100 0.241 0.119
Sm 0.423 0.423 0.732
Sm 0.888 0.252 0.579
Dy 0.460 0.900 0.881
Sm 0.577 0.577 0.268
Dy 0.759 0.460 0.881
Er 0.000 0.000 0.000
Dy 0.540 0.100 0.119
Sm 0.112 0.748 0.421
Dy 0.241 0.540 0.119

* electronic total energy: -0.16678 Ha/atom
* ρ: 7.86 g/cm³
* E above lowest polymorph: 0 meV per atom
* formation energy: 0.1237 eV/atom

# 18
## Sm4Dy2Er5 (PBE)

Data for crystalline Sm4Dy2Er5 at its relaxed geometry.

Lattice parameters (Å, degrees): 3.492 8.849 12.023 99.05 98.35 90.00
Atoms (fractional coordinates):
Sm 0.371 0.466 0.741
Sm 0.026 0.691 0.053
Dy 0.768 0.675 0.537
Dy 0.232 0.325 0.463
Er 0.500 0.000 0.000
Er 0.822 0.101 0.644
Sm 0.974 0.309 0.947
Er 0.178 0.899 0.356
Er 0.898 0.805 0.797
Er 0.102 0.195 0.203
Sm 0.629 0.534 0.259

* electronic total energy: -0.16162 Ha/atom
* ρ: 8.07 g/cm³
* E above lowest polymorph: 120 meV per atom
* formation energy: 0.2288 eV/atom